Density functional theory data (PBE-GGA) for TaBiN2O after structural relaxation.

Results
As for the total energy: -8.262 eV per atom.

Unit cell a=5.744 b=3.972 c=6.000 alpha=90.00 beta=90.00 gamma=90.00
Sites, in units of the cell vectors:
N 0.750 0.000 0.196
N 0.250 0.000 0.804
N 0.500 0.500 0.500
N 0.000 0.500 0.500
O 0.000 0.500 0.000
O 0.500 0.500 0.000
Ta 0.250 0.500 0.714
Ta 0.750 0.500 0.286
Bi 0.250 0.000 0.175
Bi 0.750 0.000 0.825